## Ac6NiHg3Pt2 (PBE)

Data for an optimized crystal structure of Ac6NiHg3Pt2.

a b c (Å): 7.514 7.514 8.664
angles (deg): 98.34 98.34 119.97
Fractional coordinates of all 12 atoms:
Ac 0.068 0.395 0.205
Ac 0.258 0.258 0.791
Ac 0.395 0.068 0.205
Ac 0.605 0.932 0.795
Ac 0.742 0.742 0.209
Ac 0.932 0.605 0.795
Ni 0.000 0.000 0.000
Hg 0.172 0.828 0.500
Hg 0.500 0.500 0.500
Hg 0.828 0.172 0.500
Pt 0.334 0.666 0.000
Pt 0.666 0.334 0.000

Calculated values
Space-group type: C2/m, No. 12
DOS(E_F) in states/eV/f.u.: 6.1
ρ in g/cm³: 9.9
Formation energy from the elements in eV per atom: -0.65

## Ac6NiHg3Rh2 (PBE)

Data for an optimized crystal structure of Ac6NiHg3Rh2.

a b c (Å): 7.444 7.444 8.629
angles (deg): 98.26 98.26 119.92
Fractional coordinates of all 12 atoms:
Ac 0.099 0.433 0.798
Ac 0.234 0.234 0.203
Ac 0.433 0.099 0.798
Ac 0.567 0.901 0.202
Ac 0.766 0.766 0.797
Ac 0.901 0.567 0.202
Ni 0.500 0.500 0.000
Hg 0.000 0.000 0.500
Hg 0.333 0.667 0.500
Hg 0.667 0.333 0.500
Rh 0.167 0.833 0.000
Rh 0.833 0.167 0.000

Calculated values
Space-group type: C2/m, No. 12
DOS(E_F) in states/eV/f.u.: 8.2
ρ in g/cm³: 9.3
Formation energy from the elements in eV per atom: -0.52

## AcNiHgSb (PBE)

Data for an optimized crystal structure of AcNiHgSb.

a b c (Å): 5.207 5.207 5.207
angles (deg): 60.00 60.00 60.00
Fractional coordinates of all 4 atoms:
Ac 0.000 0.000 0.000
Ni 0.250 0.250 0.250
Hg 0.750 0.750 0.750
Sb 0.500 0.500 0.500

Calculated values
Space-group type: F-43m, No. 216
DOS(E_F) in states/eV/f.u.: 1.4
ΔE_f (raw) in meV per atom: -246.9
ρ in g/cm³: 10.1

## Ac2Ni4HgSb3 (PBE)

Data for an optimized crystal structure of Ac2Ni4HgSb3.

a b c (Å): 4.574 4.574 10.233
angles (deg): 90.00 90.00 90.00
Fractional coordinates of all 10 atoms:
Ac 0.000 0.500 0.238
Ac 0.500 0.000 0.762
Ni 0.000 0.000 0.000
Ni 0.000 0.500 0.627
Ni 0.500 0.000 0.373
Ni 0.500 0.500 0.000
Hg 0.000 0.000 0.500
Sb 0.000 0.500 0.876
Sb 0.500 0.000 0.124
Sb 0.500 0.500 0.500

Calculated values
Space-group type: P-4m2, No. 115
DOS(E_F) in states/eV/f.u.: 6.7
ΔE_f (raw) in meV per atom: -577.8
ρ in g/cm³: 9.7

## Ac2Ni3Sn4Hg (PBE)

Data for an optimized crystal structure of Ac2Ni3Sn4Hg.

a b c (Å): 4.645 4.645 10.716
angles (deg): 90.00 90.00 90.00
Fractional coordinates of all 10 atoms:
Ac 0.000 0.500 0.248
Ac 0.500 0.000 0.752
Ni 0.000 0.500 0.885
Ni 0.500 0.000 0.115
Ni 0.500 0.500 0.500
Sn 0.000 0.000 0.000
Sn 0.000 0.500 0.647
Sn 0.500 0.000 0.353
Sn 0.500 0.500 0.000
Hg 0.000 0.000 0.500

Calculated values
Space-group type: P-4m2, No. 115
DOS(E_F) in states/eV/f.u.: 5.7
ρ in g/cm³: 9.4
Formation energy from the elements in eV per atom: -0.47

## Ac2Ni4Sn3Hg (PBE)

Data for an optimized crystal structure of Ac2Ni4Sn3Hg.

a b c (Å): 4.590 4.590 10.297
angles (deg): 90.00 90.00 90.00
Fractional coordinates of all 10 atoms:
Ac 0.000 0.500 0.241
Ac 0.500 0.000 0.759
Ni 0.000 0.000 0.000
Ni 0.000 0.500 0.631
Ni 0.500 0.000 0.369
Ni 0.500 0.500 0.000
Sn 0.000 0.500 0.880
Sn 0.500 0.000 0.120
Sn 0.500 0.500 0.500
Hg 0.000 0.000 0.500

Calculated values
Space-group type: P-4m2, No. 115
DOS(E_F) in states/eV/f.u.: 7.9
ρ in g/cm³: 9.5
Formation energy from the elements in eV per atom: -0.45

Copy entry 3 word for word.
## AcNiHgSb (PBE)

Data for an optimized crystal structure of AcNiHgSb.

a b c (Å): 5.207 5.207 5.207
angles (deg): 60.00 60.00 60.00
Fractional coordinates of all 4 atoms:
Ac 0.000 0.000 0.000
Ni 0.250 0.250 0.250
Hg 0.750 0.750 0.750
Sb 0.500 0.500 0.500

Calculated values
Space-group type: F-43m, No. 216
DOS(E_F) in states/eV/f.u.: 1.4
ΔE_f (raw) in meV per atom: -246.9
ρ in g/cm³: 10.1